A relaxed structure of YInRu2. Source: the Alexandria database, functional PBE.

a b c (Å): 4.346 3.390 5.557
angles (deg): 72.24 90.00 90.00
Positions (direct):
In  0.500  0.785  0.804
Ru  0.000  0.188  0.998
Ru  0.500  0.065  0.246
Y  0.000  0.462  0.452

Computed properties:
Mass density in g/cm3: 8.6
Raw total energy in eV per atom: -6.96